No. 1
Below is an optimized crystal structure of KY3Pu2Te6, with properties calculated at the GGA-PBE level. Values from VASP.

Results
Crystal system = monoclinic
Total DFT energy (no corrections) = -0.254 Ha/atom
V = 378.5 Å³/cell
ΔE_f (raw) = -1.25 eV per atom
SG = C2/m, No. 12

```
&SYSTEM
  ibrav = 0, nat = 12, ntyp = 4
/
ATOMIC_SPECIES
K 39.10 K.upf
Y 88.91 Y.upf
Pu 244.00 Pu.upf
Te 127.60 Te.upf
ATOMIC_POSITIONS crystal
K 0.5000 0.0000 0.0000
Y 0.5000 0.5000 0.0000
Y 0.8353 0.1710 0.6706
Y 0.1647 0.8290 0.3294
Pu 0.8318 0.6641 0.6635
Pu 0.1682 0.3359 0.3365
Te 0.3271 0.9188 0.6543
Te 0.6652 0.5850 0.3304
Te 0.6729 0.0812 0.3457
Te 0.9995 0.2662 0.9989
Te 0.0005 0.7338 0.0011
Te 0.3348 0.4150 0.6696
CELL_PARAMETERS angstrom
-0.3504 -3.8521 -2.1107
-2.6388 -3.9784 7.6987
-8.1655 4.9454 -3.0705
```


No. 2
Below is an optimized crystal structure of K3YPu2Te6, with properties calculated at the GGA-PBE level. Values from VASP.

Results
Crystal system = monoclinic
Total DFT energy (no corrections) = -0.220 Ha/atom
V = 440.9 Å³/cell
ΔE_f (raw) = -1.21 eV per atom
SG = C2/m, No. 12

```
&SYSTEM
  ibrav = 0, nat = 12, ntyp = 4
/
ATOMIC_SPECIES
K 39.10 K.upf
Y 88.91 Y.upf
Pu 244.00 Pu.upf
Te 127.60 Te.upf
ATOMIC_POSITIONS crystal
K 0.1674 0.8326 0.5000
K 0.8326 0.1674 0.5000
K 0.5000 0.5000 0.5000
Y 0.0000 0.0000 0.0000
Pu 0.3333 0.6667 0.0000
Pu 0.6667 0.3333 0.0000
Te 0.9302 0.5994 0.7907
Te 0.7389 0.7389 0.2093
Te 0.0698 0.4006 0.2093
Te 0.5994 0.9302 0.7907
Te 0.2611 0.2611 0.7907
Te 0.4006 0.0698 0.2093
CELL_PARAMETERS angstrom
7.8747 -0.0012 0.0002
-3.9364 6.8202 0.0002
-1.3131 -2.2736 8.2098
```


No. 3
Below is an optimized crystal structure of K3Y3PuTe8, with properties calculated at the GGA-PBE level. Values from VASP.

Results
Crystal system = trigonal
Total DFT energy (no corrections) = -0.199 Ha/atom
V = 575.8 Å³/cell
ΔE_f (raw) = -1.28 eV per atom
SG = R-3m, No. 166

```
&SYSTEM
  ibrav = 0, nat = 15, ntyp = 4
/
ATOMIC_SPECIES
K 39.10 K.upf
Y 88.91 Y.upf
Pu 244.00 Pu.upf
Te 127.60 Te.upf
ATOMIC_POSITIONS crystal
K 0.0000 0.0000 0.0000
K 0.0000 0.5000 0.0000
K 0.5000 0.5000 0.0000
Y 0.5000 0.0000 0.5000
Y 0.5000 0.5000 0.5000
Y 0.0000 0.5000 0.5000
Pu 0.0000 0.0000 0.5000
Te 0.2637 0.5273 0.2911
Te 0.7363 0.4727 0.7089
Te 0.7648 0.5297 0.2944
Te 0.2352 0.4703 0.7056
Te 0.7649 0.0295 0.2944
Te 0.2351 0.9705 0.7056
Te 0.2647 0.0296 0.2944
Te 0.7353 0.9704 0.7056
CELL_PARAMETERS angstrom
-3.8023 6.5394 -4.7087
-3.2035 -2.1505 8.0311
8.5671 4.8117 -0.2358
```


No. 4
Below is an optimized crystal structure of KYPu2Te4, with properties calculated at the GGA-PBE level. Values from VASP.

Results
Crystal system = monoclinic
Total DFT energy (no corrections) = -0.267 Ha/atom
V = 262.3 Å³/cell
ΔE_f (raw) = -1.16 eV per atom
SG = P2/m, No. 10

```
&SYSTEM
  ibrav = 0, nat = 8, ntyp = 4
/
ATOMIC_SPECIES
K 39.10 K.upf
Y 88.91 Y.upf
Pu 244.00 Pu.upf
Te 127.60 Te.upf
ATOMIC_POSITIONS crystal
K 0.5000 0.5000 0.0000
Y 0.0000 0.5000 0.5000
Pu 0.0000 0.0000 0.0000
Pu 0.5000 0.0000 0.5000
Te 0.0000 0.7619 0.7316
Te 0.0000 0.2381 0.2684
Te 0.5000 0.7509 0.2610
Te 0.5000 0.2491 0.7390
CELL_PARAMETERS angstrom
-3.3847 1.1050 -2.7095
-2.5212 -7.3903 0.1356
-5.0864 -0.8283 6.0160
```


No. 5
Below is an optimized crystal structure of KY2Pu3Te6, with properties calculated at the GGA-PBE level. Values from VASP.

Results
Crystal system = monoclinic
Total DFT energy (no corrections) = -0.276 Ha/atom
V = 381.6 Å³/cell
ΔE_f (raw) = -1.18 eV per atom
SG = C2/m, No. 12

```
&SYSTEM
  ibrav = 0, nat = 12, ntyp = 4
/
ATOMIC_SPECIES
K 39.10 K.upf
Y 88.91 Y.upf
Pu 244.00 Pu.upf
Te 127.60 Te.upf
ATOMIC_POSITIONS crystal
K 0.5000 0.0000 0.0000
Y 0.8321 0.6633 0.6643
Y 0.1679 0.3367 0.3357
Pu 0.5000 0.5000 0.0000
Pu 0.8376 0.1665 0.6753
Pu 0.1624 0.8335 0.3247
Te 0.3270 0.9060 0.6540
Te 0.6675 0.5826 0.3351
Te 0.6730 0.0940 0.3460
Te 0.0047 0.2660 0.0094
Te 0.9953 0.7340 0.9906
Te 0.3325 0.4174 0.6649
CELL_PARAMETERS angstrom
-0.9267 3.9623 1.7763
-8.8547 -1.7824 -0.6437
2.7333 -5.4071 7.9383
```


No. 6
Below is an optimized crystal structure of K2YPuTe4, with properties calculated at the GGA-PBE level. Values from VASP.

Results
Crystal system = monoclinic
Total DFT energy (no corrections) = -0.209 Ha/atom
V = 293.3 Å³/cell
ΔE_f (raw) = -1.25 eV per atom
SG = P2/m, No. 10

```
&SYSTEM
  ibrav = 0, nat = 8, ntyp = 4
/
ATOMIC_SPECIES
K 39.10 K.upf
Y 88.91 Y.upf
Pu 244.00 Pu.upf
Te 127.60 Te.upf
ATOMIC_POSITIONS crystal
K 0.5000 0.0000 0.5000
K 0.0000 0.5000 0.5000
Y 0.5000 0.5000 0.0000
Pu 0.0000 0.0000 0.0000
Te 0.5000 0.2392 0.2087
Te 0.5000 0.7608 0.7913
Te 0.0000 0.2676 0.7907
Te 0.0000 0.7324 0.2093
CELL_PARAMETERS angstrom
-2.2162 -2.9322 -2.6635
0.1174 -5.3408 5.7821
-7.2012 4.6501 0.8726
```